(1)
First-principles (PBE-GGA) data for crystalline Pd2PtAu at its relaxed geometry, as listed in the Alexandria database.

Cell and atoms, written as POSCAR:
```
Pd2PtAu
1.0
0.000 3.186 3.186
3.186 0.000 3.186
3.186 3.186 0.000
Au Pd Pt
1 2 1
Direct
0.500 0.500 0.500 Au
0.250 0.250 0.250 Pd
0.750 0.750 0.750 Pd
0.000 0.000 0.000 Pt
```

## Properties
Space-group type: Fm-3m, No. 225
Size of the total moment: 0.000 μB/f.u.
Calculated volume: 16.2 A^3/atom
Uncorrected energy: -4.887 eV/atom
Polymorph energy (0 for the lowest one): 79.6 meV per atom


(2)
First-principles (PBE-GGA) data for crystalline K4TeSe at its relaxed geometry, as listed in the Alexandria database.

Cell and atoms, written as POSCAR:
```
K4TeSe
1.0
5.621 0.000 0.003
0.000 5.622 0.004
-0.002 -0.003 8.018
Se K Te
1 4 1
Direct
0.001 0.997 0.498 Se
0.001 0.497 0.735 K
0.001 0.497 0.261 K
0.501 0.997 0.261 K
0.501 0.998 0.735 K
0.501 0.497 0.998 Te
```

## Properties
Space-group type: P4/mmm, No. 123
Size of the total moment: 0.000 μB/f.u.
ΔE_f (raw): -6.36 eV/f.u.
Calculated volume: 42.2 A^3/atom
Uncorrected energy: -2.897 eV/atom
Polymorph energy (0 for the lowest one): 0.0 meV per atom


(3)
First-principles (PBE-GGA) data for crystalline Mn2BeGaB at its relaxed geometry, as listed in the Alexandria database.

Cell and atoms, written as POSCAR:
```
Mn2BeGaB
1.0
-3.023 0.885 2.410
-1.642 -3.133 -0.910
1.847 -1.836 2.991
Mn Ga Be B
2 1 1 1
Direct
0.000 0.000 0.500 Mn
0.500 0.000 0.000 Mn
0.500 0.500 0.500 Ga
0.000 0.500 0.000 Be
0.000 0.000 0.000 B
```

## Properties
Space-group type: P4/mmm, No. 123
Size of the total moment: 3.539 μB/f.u.
Calculated volume: 11.5 A^3/atom
Uncorrected energy: -6.371 eV/atom


(4)
First-principles (PBE-GGA) data for crystalline YTmFe at its relaxed geometry, as listed in the Alexandria database.

Cell and atoms, written as POSCAR:
```
YTmFe
1.0
6.733 0.000 0.000
-3.366 5.951 0.000
0.000 0.000 7.312
Tm Fe Y
4 4 4
Direct
0.206 0.911 0.750 Tm
0.706 0.911 0.750 Tm
0.794 0.089 0.250 Tm
0.294 0.089 0.250 Tm
0.409 0.819 0.457 Fe
0.909 0.819 0.043 Fe
0.091 0.181 0.957 Fe
0.591 0.181 0.543 Fe
0.697 0.394 0.887 Y
0.197 0.394 0.613 Y
0.303 0.606 0.113 Y
0.803 0.606 0.387 Y
```

## Properties
Space-group type: Cmce, No. 64
Size of the total moment: 0.735 μB/f.u.
Calculated volume: 24.4 A^3/atom
Uncorrected energy: -6.436 eV/atom
Polymorph energy (0 for the lowest one): 0.0 meV per atom


(5)
First-principles (PBE-GGA) data for crystalline MgTa2Be at its relaxed geometry, as listed in the Alexandria database.

Cell and atoms, written as POSCAR:
```
MgTa2Be
1.0
5.109 -0.006 0.000
2.152 4.633 0.000
-3.630 -2.314 2.751
Be Ta Mg
1 2 1
Direct
0.500 0.500 0.000 Be
0.000 0.000 0.000 Ta
0.250 0.750 0.500 Ta
0.750 0.250 0.500 Mg
```

## Properties
Space-group type: I-4m2, No. 119
Size of the total moment: 0.000 μB/f.u.
Calculated volume: 16.3 A^3/atom
Uncorrected energy: -6.879 eV/atom
Polymorph energy (0 for the lowest one): 246.4 meV per atom


(6)
First-principles (PBE-GGA) data for crystalline K2CaZrSe4 at its relaxed geometry, as listed in the Alexandria database.

Cell and atoms, written as POSCAR:
```
K2CaZrSe4
1.0
-3.050 1.256 -2.477
-4.105 -5.562 2.235
-1.478 6.104 4.917
Se Zr K Ca
4 1 2 1
Direct
0.500 0.215 0.199 Se
0.500 0.785 0.801 Se
0.000 0.241 0.797 Se
0.000 0.759 0.203 Se
0.000 0.000 0.000 Zr
0.500 0.000 0.500 K
0.000 0.500 0.500 K
0.500 0.500 0.000 Ca
```

## Properties
Space-group type: P2/m, No. 10
Size of the total moment: 0.000 μB/f.u.
ΔE_f (raw): -12.09 eV/f.u.
Calculated volume: 28.6 A^3/atom
Uncorrected energy: -4.847 eV/atom


(7)
First-principles (PBE-GGA) data for crystalline Sr8AsRh2 at its relaxed geometry, as listed in the Alexandria database.

Cell and atoms, written as POSCAR:
```
Sr8AsRh2
1.0
7.761 -0.192 -0.271
-0.027 6.881 -3.894
-0.280 0.455 8.574
Sr Rh As
8 2 1
Direct
0.861 0.891 0.275 Sr
0.139 0.110 0.725 Sr
0.656 0.284 0.701 Sr
0.247 0.249 0.314 Sr
0.216 0.659 0.786 Sr
0.753 0.751 0.686 Sr
0.344 0.716 0.299 Sr
0.784 0.341 0.214 Sr
0.046 0.650 0.454 Rh
0.954 0.350 0.546 Rh
0.000 0.000 0.000 As
```

## Properties
Space-group type: P-1, No. 2
Size of the total moment: 0.000 μB/f.u.
Calculated volume: 42.8 A^3/atom
Uncorrected energy: -3.283 eV/atom